The following is a DFT calculation (PBE-GGA) of a geometry-optimized LiCa6Ga2 structure.

Output
Formation energy, eV per atom: -0.22
Volume, Å³/atom: 32.95
Spin magnetization, Bohr magnetons per cell: 0.0

a = 9.2019 Å, b = 9.2019 Å, c = 9.2019 Å
α = 102.53°, β = 112.16°, γ = 113.95°
Atoms (fractional coordinates):
Li  0.0000  0.5000  0.5000
Li  0.0000  0.0000  0.0000
Ca  0.5297  0.7138  0.8160
Ca  0.4703  0.2862  0.1840
Ca  0.1022  0.2862  0.8160
Ca  0.8978  0.7138  0.1840
Ca  0.8012  0.7534  0.5546
Ca  0.1988  0.2466  0.4454
Ca  0.1988  0.7534  0.9522
Ca  0.8012  0.2466  0.0478
Ca  0.6794  0.3431  0.6637
Ca  0.3206  0.6569  0.3363
Ca  0.3206  0.9843  0.6637
Ca  0.6794  0.0157  0.3363
Ga  0.5000  0.3825  0.8825
Ga  0.5000  0.6175  0.1175
Ga  0.6917  0.0000  0.6917
Ga  0.3083  0.0000  0.3083

***

The following is a DFT calculation (PBE-GGA) of a geometry-optimized Li4CaGa4 structure.

Output
Formation energy, eV per atom: -0.24
Volume, Å³/atom: 19.55
Spin magnetization, Bohr magnetons per cell: 0.0

a = 4.6186 Å, b = 8.7287 Å, c = 8.7287 Å
α = 90.00°, β = 90.00°, γ = 90.00°
Atoms (fractional coordinates):
Li  0.5001  0.8518  0.2423
Li  0.5001  0.1482  0.7577
Li  0.0001  0.7423  0.6482
Li  0.9999  0.3518  0.7423
Li  0.9999  0.6482  0.2577
Li  0.4999  0.2423  0.1482
Li  0.4999  0.7577  0.8518
Li  0.0001  0.2577  0.3518
Ca  0.0000  0.0000  0.0000
Ca  0.5000  0.5000  0.5000
Ga  0.4999  0.4307  0.8674
Ga  0.9999  0.6326  0.9307
Ga  0.4999  0.5693  0.1326
Ga  0.0001  0.0693  0.6326
Ga  0.5001  0.8674  0.5693
Ga  0.0001  0.9307  0.3674
Ga  0.9999  0.3674  0.0693
Ga  0.5001  0.1326  0.4307

***

The following is a DFT calculation (PBE-GGA) of a geometry-optimized LiCa2Ga6 structure.

Output
Formation energy, eV per atom: -0.38
Volume, Å³/atom: 20.24
Spin magnetization, Bohr magnetons per cell: 0.0

a = 5.9403 Å, b = 5.9507 Å, c = 5.9513 Å
α = 120.00°, β = 90.00°, γ = 90.00°
Atoms (fractional coordinates):
Li  0.0000  0.0000  0.0000
Ca  0.8550  0.6666  0.3332
Ca  0.1450  0.3334  0.6668
Ga  0.3326  0.3520  0.1761
Ga  0.3324  0.8239  0.6477
Ga  0.3326  0.8241  0.1761
Ga  0.6674  0.6480  0.8239
Ga  0.6676  0.1761  0.3523
Ga  0.6674  0.1759  0.8239

***

The following is a DFT calculation (PBE-GGA) of a geometry-optimized Li4CaGa2 structure.

Output
Formation energy, eV per atom: -0.21
Volume, Å³/atom: 20.19
Spin magnetization, Bohr magnetons per cell: 0.0

a = 4.6440 Å, b = 4.3673 Å, c = 7.3039 Å
α = 107.40°, β = 90.00°, γ = 90.00°
Atoms (fractional coordinates):
Li  0.5000  0.8033  0.6067
Li  0.0000  0.6820  0.3641
Li  0.5000  0.1967  0.3933
Li  0.0000  0.3180  0.6359
Ca  0.0000  0.0000  0.0000
Ga  0.5000  0.5888  0.1776
Ga  0.5000  0.4112  0.8224

***

The following is a DFT calculation (PBE-GGA) of a geometry-optimized LiCa3Ga8 structure.

Output
Formation energy, eV per atom: -0.39
Volume, Å³/atom: 20.53
Spin magnetization, Bohr magnetons per cell: 0.0

a = 5.5459 Å, b = 5.5459 Å, c = 9.7872 Å
α = 73.54°, β = 73.54°, γ = 60.00°
Atoms (fractional coordinates):
Li  0.8757  0.8757  0.3729
Ca  0.3753  0.3753  0.8742
Ca  0.9960  0.9960  0.0119
Ca  0.5030  0.5030  0.4911
Ga  0.9365  0.4362  0.1911
Ga  0.4396  0.9382  0.6841
Ga  0.4362  0.4362  0.1911
Ga  0.9382  0.9382  0.6841
Ga  0.1880  0.1880  0.4360
Ga  0.6872  0.6872  0.9383
Ga  0.4362  0.9365  0.1911
Ga  0.9382  0.4396  0.6841

***

The following is a DFT calculation (PBE-GGA) of a geometry-optimized LiCaGa4 structure.

Output
Formation energy, eV per atom: -0.39
Volume, Å³/atom: 19.75
Spin magnetization, Bohr magnetons per cell: 0.0

a = 4.2764 Å, b = 5.6982 Å, c = 5.6987 Å
α = 76.06°, β = 67.96°, γ = 67.96°
Atoms (fractional coordinates):
Li  0.0000  0.5000  0.0000
Ca  0.0000  0.0000  0.5000
Ga  0.6634  0.5349  0.6382
Ga  0.3366  0.4651  0.3618
Ga  0.3365  0.8615  0.9654
Ga  0.6635  0.1385  0.0346